1.
{"formula": "Zr6BCl14", "functional": "PBEsol", "state": "relaxed", "cell": [[-6.977, 0.464, 6.406], [-0.261, -9.402, -1.213], [7.680, -1.305, 8.459]], "species": ["Zr", "Zr", "Zr", "Zr", "Zr", "Zr", "Zr", "Zr", "Zr", "Zr", "Zr", "Zr", "B", "B", "Cl", "Cl", "Cl", "Cl", "Cl", "Cl", "Cl", "Cl", "Cl", "Cl", "Cl", "Cl", "Cl", "Cl", "Cl", "Cl", "Cl", "Cl", "Cl", "Cl", "Cl", "Cl", "Cl", "Cl", "Cl", "Cl", "Cl", "Cl"], "frac_coords": [[0.651, 0.651, 0.890], [0.849, 0.849, 0.390], [0.151, 0.151, 0.610], [0.349, 0.349, 0.110], [0.690, 0.453, 0.118], [0.810, 0.047, 0.618], [0.953, 0.190, 0.382], [0.547, 0.310, 0.882], [0.310, 0.547, 0.882], [0.190, 0.953, 0.382], [0.047, 0.810, 0.618], [0.453, 0.690, 0.118], [0.500, 0.500, 0.000], [0.000, 0.000, 0.500], [0.749, 0.251, 0.500], [0.751, 0.249, 0.000], [0.251, 0.749, 0.500], [0.249, 0.751, 0.000], [0.841, 0.841, 0.761], [0.659, 0.659, 0.261], [0.341, 0.341, 0.739], [0.159, 0.159, 0.239], [0.098, 0.598, 0.750], [0.402, 0.902, 0.250], [0.211, 0.964, 0.750], [0.289, 0.536, 0.250], [0.464, 0.711, 0.750], [0.036, 0.789, 0.250], [0.789, 0.036, 0.250], [0.711, 0.464, 0.750], [0.536, 0.289, 0.250], [0.964, 0.211, 0.750], [0.380, 0.132, 0.992], [0.120, 0.368, 0.492], [0.632, 0.880, 0.508], [0.868, 0.620, 0.008], [0.620, 0.868, 0.008], [0.880, 0.632, 0.508], [0.368, 0.120, 0.492], [0.132, 0.380, 0.992], [0.598, 0.098, 0.750], [0.902, 0.402, 0.250]], "volume_a3_per_fu": 514, "crystal_system": "orthorhombic", "e_form_raw_mev_per_atom": -1779.6}

=====

2.
{"formula": "HoSe2", "functional": "PBEsol", "state": "relaxed", "cell": [[3.998, 0.000, 0.000], [0.000, 3.998, 0.000], [0.000, 0.000, 8.162]], "species": ["Ho", "Ho", "Se", "Se", "Se", "Se"], "frac_coords": [[0.500, 0.000, 0.272], [0.000, 0.500, 0.728], [0.000, 0.000, 0.000], [0.500, 0.500, 0.000], [0.500, 0.000, 0.630], [0.000, 0.500, 0.370]], "volume_a3_per_fu": 65, "crystal_system": "tetragonal", "e_form_raw_mev_per_atom": -1614.0}